[1]
! K2NiW PBE relaxed; values from VASP
! E ... -0.13954 Ha/atom
! Formation enthalpy at 0 K ... 1.4354 eV/atom
! Volume ... 82.67 Å³ per cell
! Excess energy over the best structure of this formula in the dataset ... 57.57 kJ per mole of atoms
&SYSTEM
  ibrav = 0, nat = 4, ntyp = 3
/
ATOMIC_SPECIES
K 39.10 K.upf
Ni 58.69 Ni.upf
W 183.84 W.upf
CELL_PARAMETERS angstrom
2.807 -5.920 0.000
2.807 5.920 0.000
-1.199 0.000 2.488
ATOMIC_POSITIONS crystal
K 0.000 0.500 0.000
K 0.500 0.000 0.000
Ni 0.000 0.000 0.500
W 0.500 0.500 0.500

=====

[2]
! Cu4AsSe3 PBE relaxed; values from VASP
! E ... -0.14601 Ha/atom
! Formation energy from raw total energies ... -37 meV/atom
! Volume ... 305.71 Å³ per cell
&SYSTEM
  ibrav = 0, nat = 16, ntyp = 3
/
ATOMIC_SPECIES
Cu 63.55 Cu.upf
As 74.92 As.upf
Se 78.96 Se.upf
CELL_PARAMETERS angstrom
7.914 0.000 0.000
0.000 5.492 0.000
0.000 0.000 7.034
ATOMIC_POSITIONS crystal
Cu 0.000 0.039 0.000
Cu 0.000 0.696 0.542
Cu 0.240 0.295 0.502
Cu 0.260 0.705 0.002
Cu 0.500 0.304 0.042
Cu 0.500 0.961 0.500
Cu 0.740 0.705 0.002
Cu 0.760 0.295 0.502
As 0.000 0.679 0.200
As 0.500 0.321 0.700
Se 0.000 0.118 0.661
Se 0.211 0.308 0.157
Se 0.289 0.692 0.657
Se 0.500 0.882 0.161
Se 0.711 0.692 0.657
Se 0.789 0.308 0.157

=====

[3]
! Pm4GeAuSe2 PBE relaxed; values from VASP
! E ... -0.20435 Ha/atom
! Formation energy from raw total energies ... -1327 meV/atom
! Volume ... 217.39 Å³ per cell
&SYSTEM
  ibrav = 0, nat = 8, ntyp = 4
/
ATOMIC_SPECIES
Pm 145.00 Pm.upf
Ge 72.64 Ge.upf
Au 196.97 Au.upf
Se 78.96 Se.upf
CELL_PARAMETERS angstrom
7.250 0.000 0.000
0.000 4.223 0.000
-2.408 0.000 7.100
ATOMIC_POSITIONS crystal
Pm 0.242 0.000 0.247
Pm 0.243 0.500 0.747
Pm 0.757 0.500 0.253
Pm 0.758 0.000 0.753
Ge 0.000 0.500 0.000
Au 0.500 0.000 0.000
Se 0.000 0.000 0.500
Se 0.500 0.500 0.500

=====

[4]
! BeAg2Ir PBE relaxed; values from VASP
! E ... -0.16163 Ha/atom
! Formation enthalpy at 0 K ... 0.1742 eV/atom
! Volume ... 58.76 Å³ per cell
&SYSTEM
  ibrav = 0, nat = 4, ntyp = 3
/
ATOMIC_SPECIES
Be 9.01 Be.upf
Ag 107.87 Ag.upf
Ir 192.22 Ir.upf
CELL_PARAMETERS angstrom
-1.443 2.299 4.428
1.443 -2.299 4.428
1.443 2.299 -4.428
ATOMIC_POSITIONS crystal
Be 0.000 0.000 0.000
Ag 0.482 0.482 0.000
Ag 0.771 0.271 0.500
Ir 0.192 0.692 0.500